(1)
This record from Alexandria via LeMat-Bulk describes crystalline NdDyCo4 at its relaxed geometry. The functional is PBE.

a = 5.1244 Å, b = 5.1244 Å, c = 5.1244 Å
α = 60.00°, β = 60.00°, γ = 60.00°
With the nearest neighbours (Å) after each atom.
Atoms (fractional coordinates):
Co 0.6256 0.6256 0.1233  6 Co 2.55-2.57
Co 0.6256 0.1233 0.6256  6 Co 2.55-2.57
Co 0.6256 0.6256 0.6256  6 Co 2.55-2.57
Co 0.1233 0.6256 0.6256  6 Co 2.55-2.57
Nd 0.2500 0.2500 0.2500  12 Co 3.01, 4 Dy 3.14
Dy 0.0000 0.0000 0.0000  12 Co 3.00, 4 Nd 3.14

***

(2)
This record from Alexandria via LeMat-Bulk describes crystalline Tb6TlPb at its relaxed geometry. The functional is PBE.

a = 4.8707 Å, b = 4.8707 Å, c = 9.7239 Å
α = 90.00°, β = 90.00°, γ = 90.00°
With the nearest neighbours (Å) after each atom.
Atoms (fractional coordinates):
Tb 0.5000 0.5000 0.0000  8 Tb 3.44, 4 Pb 3.44
Tb 0.5000 0.5000 0.5000  8 Tb 3.44, 4 Tl 3.44
Tb 0.5000 0.0000 0.2502  2 Tl 3.44, 8 Tb 3.44, 2 Pb 3.44
Tb 0.5000 0.0000 0.7498  8 Tb 3.44, 2 Tl 3.44, 2 Pb 3.44
Tb 0.0000 0.5000 0.2502  2 Tl 3.44, 8 Tb 3.44, 2 Pb 3.44
Tb 0.0000 0.5000 0.7498  8 Tb 3.44, 2 Tl 3.44, 2 Pb 3.44
Tl 0.0000 0.0000 0.5000  12 Tb 3.44
Pb 0.0000 0.0000 0.0000  12 Tb 3.44

***

Number 1: formation enthalpy at 0 K -0.1112 eV per atom, size of the total moment 0.6393 μB/atom. Number 2: formation enthalpy at 0 K -0.2432 eV per atom, size of the total moment 0.0001 μB/atom.